# 1
BaTlBi2, optimized geometry, DFT PBE; distance to the lowest polymorph of the same formula = 67 kJ/mol of formula units; energy of formation = -304 meV per atom; volume = 38.0 Å³/atom; total magnetization = 0.000 μB/f.u.
1.0
9.342 0.000 0.000
0.000 9.342 0.000
4.671 4.671 3.479
Ba Tl Bi
2 2 4
direct
0.250 0.750 0.500
0.500 0.500 0.000
0.000 0.000 0.000
0.750 0.250 0.500
0.375 0.339 0.750
0.875 0.911 0.750
0.661 0.125 0.250
0.089 0.625 0.250

***

# 2
BaTlBi2, optimized geometry, DFT PBE; distance to the lowest polymorph of the same formula = 225 kJ/mol of formula units; energy of formation = 106 meV per atom; volume = 37.8 Å³/atom; total magnetization = 0.001 μB/f.u.
1.0
-2.466 2.752 -0.124
-3.381 -0.608 -1.366
-6.084 -2.466 11.152
Bi Tl Ba
2 1 1
direct
0.908 0.908 0.275
0.092 0.092 0.725
0.500 0.500 0.500
0.000 0.000 0.000

***

# 3
BaTlBi3, optimized geometry, DFT PBE; distance to the lowest polymorph of the same formula = 0 kJ/mol of formula units; energy of formation = -276 meV per atom; volume = 39.4 Å³/atom; total magnetization = 0.000 μB/f.u.
1.0
6.994 0.000 0.001
0.000 7.925 -0.004
0.002 -0.001 7.105
Bi Tl Ba
6 2 2
direct
0.963 0.400 0.927
0.347 0.293 0.201
0.463 0.953 0.427
0.963 0.400 0.474
0.463 0.953 0.974
0.847 0.059 0.700
0.653 0.600 0.201
0.153 0.753 0.701
0.452 0.370 0.701
0.952 0.983 0.200